A plane-wave DFT calculation with PBE was carried out for a relaxed structure of RbNb2CoS.

Cell lengths 4.638, 4.638, 5.775 Å; angles 90.00, 90.00, 90.00 degrees
Positions (direct):
Rb (0.000, 0.000, 0.000)
Nb (0.000, 0.500, 0.500)
Nb (0.500, 0.000, 0.500)
Co (0.500, 0.500, 0.000)
S (0.000, 0.000, 0.500)

Output
- Total energy: -5.4471 eV/atom
- Space-group type: P4/mmm (123)
- Calculated volume: 24.85 A^3/atom
- M_tot: 0.827 μB/f.u.